ZrPaSb, optimized geometry, DFT PBE; M_tot = 0.01 μB per formula unit; final energy = -22.52 eV/cell; crystal system = hexagonal; energy above the lowest structure with this stoichiometry = 365.5 meV per atom
1.0
5.105 0.000 0.000
-2.553 4.421 0.000
0.000 0.000 3.307
Zr Pa Sb
1 1 1
Direct
0.000 0.000 0.000
0.333 0.667 0.500
0.667 0.333 0.000

---

Zr12PaSb6, optimized geometry, DFT PBE; M_tot = 0.00 μB per formula unit; final energy = -143.65 eV/cell; crystal system = trigonal
1.0
7.001 4.042 2.581
-7.001 4.042 2.581
0.000 -8.084 2.581
Zr Pa Sb
12 1 6
Direct
0.030 0.170 0.296
0.170 0.296 0.030
0.235 0.693 0.614
0.296 0.030 0.170
0.307 0.386 0.765
0.386 0.765 0.307
0.614 0.235 0.693
0.693 0.614 0.235
0.704 0.970 0.830
0.765 0.307 0.386
0.830 0.704 0.970
0.970 0.830 0.704
0.500 0.500 0.500
0.067 0.569 0.845
0.155 0.933 0.431
0.431 0.155 0.933
0.569 0.845 0.067
0.845 0.067 0.569
0.933 0.431 0.155